# 1
KTaMo2: relaxed, PBEsol.

The structure belongs to space group Pmm2 (No. 25); the cell edges are 3.2864, 3.4435 and 8.4134 Å and the angles 90.00°, 90.00° and 90.00°. The distinct sites, in fractional coordinates, are K at (0.0000, 0.0000, 0.0000), Ta at (0.5000, 0.5000, 0.6296), Mo at (0.0000, 0.0000, 0.4775) and Mo at (0.5000, 0.5000, 0.3393).

For the formation energy, the calculation gives 887 meV per atom. The offset from the most stable computed form is 166 meV/atom.

# 2
KTaMo2: relaxed, PBEsol.

The structure belongs to space group Cmmm (No. 65); the cell edges are 3.1666, 4.6099 and 10.5099 Å and the angles 90.00°, 90.00° and 90.00°. The distinct sites, in fractional coordinates, are K at (0.0000, 0.0000, 0.0000), Ta at (0.0000, 0.0000, 0.5000) and Mo at (0.0000, 0.5000, 0.2919).

For the formation energy, the calculation gives 720 meV per atom. The offset from the most stable computed form is 0 meV/atom.

# 3
KTaMo2: relaxed, PBEsol.

The structure belongs to space group Imm2 (No. 44); the cell edges are 2.9060, 5.4528 and 10.1156 Å and the angles 90.00°, 90.00° and 90.00°. The distinct sites, in fractional coordinates, are K at (0.0000, 0.0000, 0.0000), Ta at (0.0000, 0.5000, 0.7979), Mo at (0.0000, 0.0000, 0.5168) and Mo at (0.0000, 0.5000, 0.2143).

For the formation energy, the calculation gives 1335 meV per atom. The offset from the most stable computed form is 615 meV/atom.

# 4
KTaMo2: relaxed, PBEsol.

The structure belongs to space group Pmmm (No. 47); the cell edges are 2.6553, 5.2161 and 5.2861 Å and the angles 90.00°, 90.00° and 90.00°. The distinct sites, in fractional coordinates, are K at (0.0000, 0.0000, 0.0000), Ta at (0.5000, 0.0000, 0.5000), Mo at (0.0000, 0.5000, 0.5000) and Mo at (0.5000, 0.5000, 0.0000).

For the formation energy, the calculation gives 1603 meV per atom. The offset from the most stable computed form is 883 meV/atom.